# 1
DFT (PBEsol) results for BaSr after structural relaxation.

It has space group Pnma (No. 62), with a = 7.357 Å, b = 7.014 Å, c = 8.523 Å, α = 90.00°, β = 90.00° and γ = 90.00°. The asymmetric unit holds Ba at (0.083, 0.250, 0.123) and Sr at (0.080, 0.250, 0.625).

As for the formation energy: 10 meV per atom. As for the final energy: -15.9 eV for the cell shown.

=====

# 2
DFT (PBEsol) results for Ba2Bi after structural relaxation.

It has space group I4/mmm (No. 139), with a = 5.237 Å, b = 5.237 Å, c = 19.065 Å, α = 90.00°, β = 90.00° and γ = 90.00°. The asymmetric unit holds Ba at (0.000, 0.000, 0.180), Ba at (0.000, 0.500, 0.000) and Bi at (0.000, 0.000, 0.366).

As for the formation energy: -794 meV per atom. As for the final energy: -43.9 eV for the cell shown.

=====

# 3
DFT (PBEsol) results for CeRu3C after structural relaxation.

It has space group Pm-3m (No. 221), with a = 4.126 Å, b = 4.126 Å, c = 4.126 Å, α = 90.00°, β = 90.00° and γ = 90.00°. The asymmetric unit holds Ce at (0.000, 0.000, 0.000), Ru at (0.000, 0.500, 0.500) and C at (0.500, 0.500, 0.500).

As for the formation energy: -231 meV per atom. As for the final energy: -47.9 eV for the cell shown.

=====

# 4
DFT (PBEsol) results for BeNb3Rh after structural relaxation.

It has space group Pm-3m (No. 221), with a = 4.325 Å, b = 4.325 Å, c = 4.325 Å, α = 90.00°, β = 90.00° and γ = 90.00°. The asymmetric unit holds Be at (0.000, 0.000, 0.000), Nb at (0.000, 0.000, 0.500) and Rh at (0.500, 0.500, 0.500).

As for the formation energy: 592 meV per atom. As for the final energy: -41.6 eV for the cell shown.

=====

# 5
DFT (PBEsol) results for LaSbPb after structural relaxation.

It has space group P-6m2 (No. 187), with a = 5.1366 Å, b = 5.1366 Å, c = 4.0094 Å, α = 90.00°, β = 90.00° and γ = 120.00°. The asymmetric unit holds La at (0.0000, 0.0000, 0.0000), Sb at (0.6667, 0.3333, 0.5000) and Pb at (0.3333, 0.6667, 0.5000).

For the energy relative to the elements, uncorrected, the calculation gives -0.5203 eV/atom. As for the final energy: -15.5 eV for the cell shown.

=====

# 6
DFT (PBEsol) results for Cd2TcSe after structural relaxation.

It has space group Cm (No. 8), with a = 12.061 Å, b = 3.050 Å, c = 4.688 Å, α = 90.00°, β = 111.01° and γ = 90.00°. The asymmetric unit holds Cd at (0.000, 0.000, 0.000), Cd at (0.176, 0.000, 0.664), Tc at (0.462, 0.000, 0.467) and Se at (0.299, 0.500, 0.289).

For the energy relative to the elements, uncorrected, the calculation gives 0.1196 eV/atom. As for the final energy: -34.1 eV for the cell shown.

=====

# 7
DFT (PBEsol) results for Mn3H2O6 after structural relaxation.

It has space group C2/m (No. 12), with a = 14.477 Å, b = 2.933 Å, c = 4.460 Å, α = 90.00°, β = 93.48° and γ = 90.00°. The asymmetric unit holds Mn at (0.000, 0.000, 0.000), Mn at (0.151, 0.500, 0.530), H at (0.183, 0.000, 0.076), O at (0.050, 0.500, 0.234), O at (0.115, 0.000, 0.774) and O at (0.211, 0.000, 0.293).

As for the final energy: -166.7 eV for the cell shown.

=====

# 8
DFT (PBEsol) results for Cs2CuAuCl6 after structural relaxation.

It has space group Fm-3m (No. 225), with a = 9.920 Å, b = 9.920 Å, c = 9.920 Å, α = 90.00°, β = 90.00° and γ = 90.00°. The asymmetric unit holds Cs at (0.250, 0.250, 0.250), Cu at (0.000, 0.000, 0.000), Au at (0.000, 0.000, 0.500) and Cl at (0.000, 0.000, 0.243).

For the energy relative to the elements, uncorrected, the calculation gives -1.0636 eV/atom. As for the final energy: -131.3 eV for the cell shown.

=====

Record-wise density values, in g/cm3: 3.40; 6.14; 10.76; 8.02; 8.48; 8.29; 4.62; 5.03